Here is Hf2AgAu after structural relaxation from OQMD via LeMat-Bulk. Energies are from PBE.

Cell lengths 4.7868, 4.7868, 4.7868 Å; angles 60.00, 60.00, 60.00 degrees
Positions (direct):
Hf 0.0000 0.0000 0.0000
Hf 0.2500 0.2500 0.2500
Ag 0.7500 0.7500 0.7500
Au 0.5000 0.5000 0.5000

Properties
E = -6.437 eV per atom
Energy of formation = 0.0634 eV per atom